# 1
DFT (PBEsol) results for a relaxed structure of Ta3GaH.

Lattice parameters (Å, degrees): 4.1074 4.1074 4.1074 90.00 90.00 90.00
Closest atoms and distances in Å follow each position.
Space group Pm-3m (No. 221)
Symmetry-distinct sites (fractional):
Ta (0.0000, 0.0000, 0.5000)  2 H 2.05
Ga (0.5000, 0.5000, 0.5000)  12 Ta 2.90
H (0.0000, 0.0000, 0.0000)  6 Ta 2.05

- Crystal system: cubic
- Energy: -0.3298 Ha/atom


# 2
DFT (PBEsol) results for a relaxed structure of CaFeMo2.

Lattice parameters (Å, degrees): 9.1978 3.0578 5.4705 90.00 107.56 90.00
Closest atoms and distances in Å follow each position.
Space group Cm (No. 8)
Symmetry-distinct sites (fractional):
Ca (0.0000, 0.0000, 0.0000)  3 Fe 3.02-3.22, 2 Ca 3.06, 7 Mo 3.08-3.23
Fe (0.2317, 0.0000, 0.6601)  4 Mo 2.42-2.43
Mo (0.0186, 0.5000, 0.5209)  2 Fe 2.42, 2 Mo 2.50
Mo (0.2954, 0.5000, 0.3629)  2 Fe 2.43, 2 Mo 2.50

- Crystal system: monoclinic
- Calculated formation energy: 15.41 kcal/mol of atoms
- Energy above the lowest structure with this stoichiometry: 0 meV/atom


# 3
DFT (PBEsol) results for a relaxed structure of CaSnSe2N.

Lattice parameters (Å, degrees): 5.3178 5.3178 4.0437 90.00 90.00 90.00
Closest atoms and distances in Å follow each position.
Space group P4/mmm (No. 123)
Symmetry-distinct sites (fractional):
Ca (0.0000, 0.0000, 0.0000)  8 Se 3.34
Sn (0.5000, 0.5000, 0.5000)  2 N 2.02
Se (0.0000, 0.5000, 0.5000)  2 Sn 2.66
N (0.5000, 0.5000, 0.0000)  2 Sn 2.02

- Crystal system: tetragonal
- Raw formation energy: -0.94 eV per formula unit


# 4
DFT (PBEsol) results for a relaxed structure of ZnTc5.

Lattice parameters (Å, degrees): 9.7207 2.8162 6.3037 90.00 105.86 90.00
Closest atoms and distances in Å follow each position.
Space group Cm (No. 8)
Symmetry-distinct sites (fractional):
Zn (0.0000, 0.0000, 0.0000)  10 Tc 2.65-2.80, 2 Zn 2.82
Tc (0.1238, 0.5000, 0.7442)  10 Tc 2.60-2.82, 2 Zn 2.66
Tc (0.1631, 0.5000, 0.3318)  10 Tc 2.65-2.82, 2 Zn 2.66
Tc (0.2886, 0.0000, 0.0805)  9 Tc 2.64-2.82, 3 Zn 2.65-2.71
Tc (0.3288, 0.0000, 0.6640)  10 Tc 2.60-2.82, 2 Zn 2.70
Tc (0.4456, 0.5000, 0.4133)  11 Tc 2.60-2.82, 1 Zn 2.80

- Crystal system: monoclinic
- Calculated formation energy: 1.11 kcal/mol of atoms
- Energy above the lowest structure with this stoichiometry: 28 meV/atom


# 5
DFT (PBEsol) results for a relaxed structure of Mn5Os.

Lattice parameters (Å, degrees): 3.5891 10.7331 3.5285 90.00 90.00 90.00
Closest atoms and distances in Å follow each position.
Space group Cmmm (No. 65)
Symmetry-distinct sites (fractional):
Mn (0.0000, 0.0000, 0.0000)  4 Os 2.52, 8 Mn 2.53-2.57
Mn (0.0000, 0.1689, 0.5000)  10 Mn 2.46-2.53, 2 Os 2.55
Mn (0.0000, 0.3292, 0.0000)  10 Mn 2.46-2.57, 2 Os 2.54
Os (0.0000, 0.5000, 0.5000)  12 Mn 2.52-2.55

- Crystal system: orthorhombic
- Calculated formation energy: 1.60 kcal/mol of atoms


# 6
DFT (PBEsol) results for a relaxed structure of In2IrPt.

Lattice parameters (Å, degrees): 6.5013 6.5013 6.5013 90.00 90.00 90.00
Closest atoms and distances in Å follow each position.
Space group F-43m (No. 216)
Symmetry-distinct sites (fractional):
In (0.0000, 0.0000, 0.0000)  4 Ir 2.82, 4 In 2.82
In (0.2500, 0.2500, 0.2500)  4 In 2.82, 4 Pt 2.82
Ir (0.2500, 0.2500, 0.7500)  4 In 2.82, 4 Pt 2.82
Pt (0.0000, 0.0000, 0.5000)  4 In 2.82, 4 Ir 2.82

- Crystal system: cubic
- Calculated formation energy: 2.22 kcal/mol of atoms
- Energy above the lowest structure with this stoichiometry: 216 meV/atom


# 7
DFT (PBEsol) results for a relaxed structure of NaP2AuO.

Lattice parameters (Å, degrees): 4.7911 4.7911 3.8151 90.00 90.00 90.00
Closest atoms and distances in Å follow each position.
Space group P4/mmm (No. 123)
Symmetry-distinct sites (fractional):
Na (0.0000, 0.0000, 0.0000)  2 O 1.91
P (0.0000, 0.5000, 0.0000)  2 Na 2.40
Au (0.5000, 0.5000, 0.5000)  8 P 3.06, 4 O 3.39
O (0.0000, 0.0000, 0.5000)  2 Na 1.91

- Crystal system: tetragonal
- Raw formation energy: 6.33 eV per formula unit


# 8
DFT (PBEsol) results for a relaxed structure of Cr2NiIr.

Lattice parameters (Å, degrees): 2.5810 3.6342 5.0183 90.00 90.00 90.00
Closest atoms and distances in Å follow each position.
Space group Pmmm (No. 47)
Symmetry-distinct sites (fractional):
Cr (0.0000, 0.0000, 0.2365)  4 Cr 2.37-2.64, 4 Ni 2.53, 4 Ir 2.59
Ni (0.5000, 0.5000, 0.0000)  2 Ir 2.51, 8 Cr 2.53, 2 Ni 2.58
Ir (0.5000, 0.5000, 0.5000)  2 Ni 2.51, 2 Ir 2.58, 8 Cr 2.59

- Crystal system: orthorhombic
- Calculated formation energy: -1.42 kcal/mol of atoms


Copy entry 1 word for word.
DFT (PBEsol) results for a relaxed structure of Ta3GaH.

Lattice parameters (Å, degrees): 4.1074 4.1074 4.1074 90.00 90.00 90.00
Closest atoms and distances in Å follow each position.
Space group Pm-3m (No. 221)
Symmetry-distinct sites (fractional):
Ta (0.0000, 0.0000, 0.5000)  2 H 2.05
Ga (0.5000, 0.5000, 0.5000)  12 Ta 2.90
H (0.0000, 0.0000, 0.0000)  6 Ta 2.05

- Crystal system: cubic
- Energy: -0.3298 Ha/atom


Question: Which formula does entry 7 have?
Answer: NaP2AuO